No. 1
Below is a geometry-optimized AcNdMgSi structure, with properties calculated at the PBE level.

As for the volume: 112.9 Å³/cell. As for the symmetry: F-43m, No. 216. For the raw total energy, the calculation gives -4.169 eV per atom. As for the crystal system: cubic. The density is 6229 kg/m3.

Geometry as POSCAR:
```
AcNdMgSi
1.0
-3.644 -0.200 4.015
-2.131 -4.761 1.495
1.344 -2.194 4.777
Mg Si Nd Ac
1 1 1 1
direct
0.000 0.000 0.000
0.500 0.500 0.500
0.250 0.250 0.250
0.750 0.750 0.750
```

No. 2
Below is a geometry-optimized NpTl2InCl8 structure, with properties calculated at the PBE level.

As for the volume: 350.3 Å³/cell. As for the symmetry: I-4m2, No. 119. For the raw total energy, the calculation gives -4.101 eV per atom. As for the crystal system: tetragonal. The density is 4949 kg/m3.

Geometry as POSCAR:
```
NpTl2InCl8
1.0
-2.394 1.933 -6.483
5.272 -3.777 -3.072
-5.458 -4.564 4.626
Cl Tl In Np
8 2 1 1
direct
0.361 0.849 0.264
0.361 0.415 0.264
0.151 0.097 0.736
0.585 0.639 0.736
0.903 0.849 0.264
0.151 0.639 0.736
0.903 0.415 0.264
0.585 0.097 0.736
0.000 0.000 0.000
0.750 0.250 0.500
0.500 0.500 0.000
0.250 0.750 0.500
```

> Among the records above, which one has the highest raw total energy?

NpTl2InCl8

Repeat the second record exactly.
Below is a geometry-optimized NpTl2InCl8 structure, with properties calculated at the PBE level.

As for the volume: 350.3 Å³/cell. As for the symmetry: I-4m2, No. 119. For the raw total energy, the calculation gives -4.101 eV per atom. As for the crystal system: tetragonal. The density is 4949 kg/m3.

Geometry as POSCAR:
```
NpTl2InCl8
1.0
-2.394 1.933 -6.483
5.272 -3.777 -3.072
-5.458 -4.564 4.626
Cl Tl In Np
8 2 1 1
direct
0.361 0.849 0.264
0.361 0.415 0.264
0.151 0.097 0.736
0.585 0.639 0.736
0.903 0.849 0.264
0.151 0.639 0.736
0.903 0.415 0.264
0.585 0.097 0.736
0.000 0.000 0.000
0.750 0.250 0.500
0.500 0.500 0.000
0.250 0.750 0.500
```

> What is the raw total energy in the second record?

-4.101 eV per atom